This record from Alexandria describes an optimized crystal structure of NiTePd2O6. The functional is PBE+U.

Cell: 6.9118 6.9118 5.5929 Å, 94.20 94.20 81.67°
Atoms (fractional coordinates):
Ni 0.1387 0.8613 0.7500
Ni 0.8613 0.1387 0.2500
Te 0.2919 0.7081 0.2500
Te 0.7081 0.2919 0.7500
Pd 0.1640 0.3357 0.8242
Pd 0.3357 0.1640 0.3242
Pd 0.6643 0.8360 0.6758
Pd 0.8360 0.6643 0.1758
O 0.0523 0.7273 0.4343
O 0.0710 0.6744 0.9706
O 0.2727 0.9477 0.0657
O 0.3256 0.9290 0.5294
O 0.3571 0.3669 0.0984
O 0.3669 0.3571 0.5984
O 0.6331 0.6429 0.4016
O 0.6429 0.6331 0.9016
O 0.6744 0.0710 0.4706
O 0.7273 0.0523 0.9343
O 0.9290 0.3256 0.0294
O 0.9477 0.2727 0.5657

Values from the calculation:
Raw total energy = -5.10 eV/atom